No. 1
Below is crystalline Tl2IrW at its relaxed geometry, with properties calculated at the PBE level.

```
4
Lattice="0.000 3.369 3.369 3.369 0.000 3.369 3.369 3.369 0.000" Properties=species:S:1:pos:R:3 pbc="T T T"
Tl 1.685 1.685 1.685
Tl 5.054 5.054 5.054
Ir 0.000 0.000 0.000
W 3.369 3.369 3.369
```

Properties
Distance to the lowest polymorph of the same formula in meV/atom: 720
DFT formation energy in eV/f.u.: 4.37

No. 2
Below is crystalline Na2ThSnSe4 at its relaxed geometry, with properties calculated at the PBE level.

```
8
Lattice="7.331 0.000 0.000 0.000 4.311 0.000 -2.477 0.000 7.111" Properties=species:S:1:pos:R:3 pbc="T T T"
Na 0.000 0.000 0.000
Na -1.239 2.156 3.556
Th 2.427 0.000 3.556
Sn 3.666 2.156 0.000
Se 0.108 0.000 5.277
Se 1.303 2.156 1.876
Se 3.551 2.156 5.235
Se 4.746 0.000 1.835
```

Properties
Formation energy (no corrections) in eV per atom: -1.24

No. 3
Below is crystalline Ac4OsIBr2 at its relaxed geometry, with properties calculated at the PBE level.

```
8
Lattice="8.392 0.000 0.000 0.000 4.387 0.000 -2.838 0.000 8.376" Properties=species:S:1:pos:R:3 pbc="T T T"
Ac 1.121 0.000 1.632
Ac -0.420 2.194 6.728
Ac 5.975 2.194 1.648
Ac 4.433 0.000 6.744
Os 0.000 2.194 0.000
I -1.419 0.000 4.188
Br 4.196 0.000 0.000
Br 2.777 2.194 4.188
```

Properties
Formation energy (no corrections) in eV per atom: -0.89

No. 4
Below is crystalline Dy3HoTl3Se8 at its relaxed geometry, with properties calculated at the PBE level.

```
15
Lattice="4.159 2.401 7.650 -4.159 2.401 7.650 0.000 -4.803 7.650" Properties=species:S:1:pos:R:3 pbc="T T T"
Dy -2.080 -1.201 7.650
Dy -2.080 1.201 15.301
Dy 0.000 2.401 7.650
Ho 0.000 0.000 0.000
Tl -4.159 0.000 11.476
Tl -2.080 1.201 3.825
Tl 2.080 1.201 3.825
Se 0.000 -2.405 9.225
Se -2.083 1.202 9.225
Se 0.000 0.000 6.061
Se -2.083 -1.202 13.726
Se 2.083 1.202 9.225
Se 0.000 0.000 16.890
Se 2.083 -1.202 13.726
Se 0.000 2.405 13.726
```

Properties
Formation energy (no corrections) in eV per atom: -1.39

No. 5
Below is crystalline Nd8Pd2Rh3 at its relaxed geometry, with properties calculated at the PBE level.

```
13
Lattice="7.541 -4.014 0.000 7.541 4.014 0.000 -2.109 0.000 6.605" Properties=species:S:1:pos:R:3 pbc="T T T"
Nd 0.831 0.000 2.645
Nd 5.584 1.961 0.614
Nd 7.389 1.961 5.991
Nd 4.607 0.000 3.853
Nd 8.366 0.000 2.753
Nd 5.584 -1.961 0.614
Nd 7.389 -1.961 5.991
Nd 12.142 0.000 3.960
Pd 3.357 0.000 1.084
Pd 9.615 0.000 5.521
Rh 6.486 2.064 3.303
Rh 7.541 0.000 0.000
Rh 6.486 -2.064 3.303
```

Properties
DFT formation energy in eV/f.u.: -6.54

No. 6
Below is crystalline LiLa2Al3Hg4 at its relaxed geometry, with properties calculated at the PBE level.

```
10
Lattice="4.612 0.000 0.000 0.000 4.612 0.000 0.000 0.000 10.864" Properties=species:S:1:pos:R:3 pbc="T T T"
Li 0.000 0.000 0.000
La 0.000 2.306 8.092
La 2.306 0.000 2.772
Al 0.000 2.306 3.934
Al 2.306 0.000 6.930
Al 2.306 2.306 0.000
Hg 0.000 0.000 5.432
Hg 0.000 2.306 1.348
Hg 2.306 0.000 9.516
Hg 2.306 2.306 5.432
```

Properties
DFT formation energy in eV/f.u.: -3.87

No. 7
Below is crystalline Nd12HoSc6 at its relaxed geometry, with properties calculated at the PBE level.

```
19
Lattice="-5.339 5.339 5.339 5.339 -5.339 5.339 5.339 5.339 -5.339" Properties=species:S:1:pos:R:3 pbc="T T T"
Nd 5.339 3.218 -2.469
Nd 2.870 0.000 2.121
Nd 7.809 0.000 2.121
Nd 2.121 2.870 0.000
Nd 3.218 -2.469 5.339
Nd 0.000 2.121 2.870
Nd 5.339 3.218 2.469
Nd 2.121 7.809 0.000
Nd 3.218 2.469 5.339
Nd -2.469 5.339 3.218
Nd 2.469 5.339 3.218
Nd 0.000 2.121 7.809
Ho 0.000 0.000 0.000
Sc 5.339 1.472 0.000
Sc 5.339 0.000 3.867
Sc 3.867 5.339 0.000
Sc 1.472 0.000 5.339
Sc 0.000 5.339 1.472
Sc 0.000 3.867 5.339
```

Properties
Distance to the lowest polymorph of the same formula in meV/atom: 0
DFT formation energy in eV/f.u.: 4.40

No. 8
Below is crystalline Li2In at its relaxed geometry, with properties calculated at the PBE level.

```
3
Lattice="3.200 0.000 0.000 -1.600 2.771 0.000 0.000 0.000 7.286" Properties=species:S:1:pos:R:3 pbc="T T T"
Li 0.000 1.847 2.396
Li 1.600 0.924 4.890
In 0.000 0.000 0.000
```

Properties
DFT formation energy in eV/f.u.: -0.31

no.,magnetic moment (μB per formula unit),density (g cm⁻³)
1,2.1,17.0
2,0.0,5.3
3,0.0,7.5
4,0.0,6.9
5,0.0,7.0
6,0.0,8.4
7,0.0,5.9
8,0.0,3.3